Material: VOsRh2
Method: DFT, PBE
State: optimized geometry

final energy = -0.6243 Ry/atom
mass density = 12.9 g cm⁻³
crystal system = cubic
formation energy from the elements = 1.07 eV per formula unit
energy above the most stable polymorph in this dataset = 525 meV/atom
density of states at the Fermi level = 37.61 states/eV per cell

Cell and atoms, written as CIF:
```
data_VOsRh2
_cell_length_a 6.1315
_cell_length_b 6.1315
_cell_length_c 6.1315
_cell_angle_alpha 90.00
_cell_angle_beta 90.00
_cell_angle_gamma 90.00
_symmetry_space_group_name_H-M 'F m -3 m'
_symmetry_Int_Tables_number 225
_symmetry_space_group_name_Hall '-F 4 2 3'
loop_
_atom_site_label
_atom_site_type_symbol
_atom_site_fract_x
_atom_site_fract_y
_atom_site_fract_z
V1 V 0.0000 0.0000 0.0000
Os1 Os 0.0000 0.0000 0.5000
Rh1 Rh 0.2500 0.2500 0.2500
```